## PrThSc2 (PBE-GGA)

Data for PrThSc2 after structural relaxation.

a = 5.4757 Å, b = 5.4757 Å, c = 5.4757 Å
α = 60.00°, β = 60.00°, γ = 60.00°
Last column: nearest neighbours and their distance in Å.
Fractional coordinates of all 4 atoms:
Pr 0.0000 0.0000 0.0000  8 Sc 3.35
Th 0.5000 0.5000 0.5000  8 Sc 3.35
Sc 0.2500 0.2500 0.2500  4 Th 3.35, 4 Pr 3.35
Sc 0.7500 0.7500 0.7500  4 Th 3.35, 4 Pr 3.35

For the size of the total moment, the calculation gives 0.000 Bohr magnetons per cell. As for the crystal system: cubic. The value obtained for the energy of formation from the pure elements is 0.071 eV per atom. Its density of states at the Fermi level is 1.46 states/eV per atom.



## Tm2Zr3Sc8 (PBE-GGA)

Data for Tm2Zr3Sc8 after structural relaxation.

a = 7.1584 Å, b = 4.4732 Å, c = 10.6673 Å
α = 90.00°, β = 94.61°, γ = 90.00°
Last column: nearest neighbours and their distance in Å.
Fractional coordinates of all 13 atoms:
Tm 0.2302 0.0000 0.0655  9 Sc 3.28-3.52, 1 Tm 3.48
Tm 0.7698 0.0000 0.9345  9 Sc 3.28-3.52, 1 Tm 3.48
Zr 0.2145 0.5000 0.5652  9 Sc 3.10-3.23, 3 Zr 3.15-3.27
Zr 0.5000 0.0000 0.5000  8 Sc 3.07-3.23, 4 Zr 3.15
Zr 0.7855 0.5000 0.4348  9 Sc 3.10-3.23, 3 Zr 3.15-3.27
Sc 0.0662 0.5000 0.8437  5 Sc 3.13-3.39, 1 Zr 3.23, 4 Tm 3.28-3.40
Sc 0.0819 0.0000 0.3609  6 Sc 3.14-3.28, 5 Zr 3.21-3.23, 1 Tm 3.40
Sc 0.3341 0.0000 0.7568  3 Zr 3.07-3.10, 5 Sc 3.13-3.14, 1 Tm 3.43
Sc 0.3754 0.5000 0.2962  5 Sc 3.14-3.39, 4 Zr 3.18-3.20, 2 Tm 3.42
Sc 0.6246 0.5000 0.7038  5 Sc 3.14-3.39, 4 Zr 3.18-3.20, 2 Tm 3.42
Sc 0.6659 0.0000 0.2432  3 Zr 3.07-3.10, 5 Sc 3.13-3.14, 1 Tm 3.43
Sc 0.9181 0.0000 0.6391  6 Sc 3.14-3.28, 5 Zr 3.21-3.23, 1 Tm 3.40
Sc 0.9338 0.5000 0.1563  5 Sc 3.13-3.39, 1 Zr 3.23, 4 Tm 3.28-3.40

For the size of the total moment, the calculation gives 0.000 Bohr magnetons per cell. As for the crystal system: monoclinic. The value obtained for the energy of formation from the pure elements is 0.135 eV per atom. Its density of states at the Fermi level is 1.50 states/eV per atom.



## Tl3Tc5 (PBE-GGA)

Data for Tl3Tc5 after structural relaxation.

a = 8.4561 Å, b = 8.4561 Å, c = 4.9609 Å
α = 90.00°, β = 90.00°, γ = 120.00°
Last column: nearest neighbours and their distance in Å.
Fractional coordinates of all 16 atoms:
Tl 0.0000 0.3890 0.2500  8 Tc 2.86-3.11, 2 Tl 3.11
Tl 0.0000 0.6110 0.7500  8 Tc 2.86-3.11, 2 Tl 3.11
Tl 0.3890 0.0000 0.2500  8 Tc 2.86-3.11, 2 Tl 3.11
Tl 0.3890 0.3890 0.7500  8 Tc 2.86-3.11, 2 Tl 3.11
Tl 0.6110 0.0000 0.7500  8 Tc 2.86-3.11, 2 Tl 3.11
Tl 0.6110 0.6110 0.2500  8 Tc 2.86-3.11, 2 Tl 3.11
Tc 0.0000 0.1678 0.7500  2 Tc 2.46
Tc 0.0000 0.8322 0.2500  2 Tc 2.46
Tc 0.1678 0.0000 0.7500  2 Tc 2.46
Tc 0.1678 0.1678 0.2500  2 Tc 2.46
Tc 0.3333 0.6667 0.0000  2 Tc 2.48
Tc 0.3333 0.6667 0.5000  2 Tc 2.48
Tc 0.6667 0.3333 0.0000  2 Tc 2.48
Tc 0.6667 0.3333 0.5000  2 Tc 2.48
Tc 0.8322 0.0000 0.2500  2 Tc 2.46
Tc 0.8322 0.8322 0.7500  2 Tc 2.46

For the size of the total moment, the calculation gives 0.049 Bohr magnetons per cell. As for the crystal system: hexagonal. The value obtained for the energy of formation from the pure elements is 0.819 eV per atom. Its density of states at the Fermi level is 1.23 states/eV per atom.



## Tb6Nd2DyY3 (PBE-GGA)

Data for Tb6Nd2DyY3 after structural relaxation.

a = 6.2036 Å, b = 6.2036 Å, c = 11.8770 Å
α = 94.97°, β = 94.97°, γ = 119.97°
Last column: nearest neighbours and their distance in Å.
Fractional coordinates of all 12 atoms:
Tb 0.0843 0.4168 0.7517  3 Y 3.56-3.57, 6 Tb 3.57-3.59, 1 Dy 3.60, 2 Nd 3.60
Tb 0.2482 0.2482 0.2481  3 Y 3.56-3.57, 6 Tb 3.57-3.59, 1 Dy 3.59, 2 Nd 3.60
Tb 0.4168 0.0843 0.7517  3 Y 3.56-3.57, 6 Tb 3.57-3.59, 1 Dy 3.60, 2 Nd 3.60
Tb 0.5832 0.9157 0.2483  3 Y 3.56-3.57, 6 Tb 3.57-3.59, 1 Dy 3.60, 2 Nd 3.60
Tb 0.7518 0.7518 0.7519  3 Y 3.56-3.57, 6 Tb 3.57-3.59, 1 Dy 3.59, 2 Nd 3.60
Tb 0.9157 0.5832 0.2483  3 Y 3.56-3.57, 6 Tb 3.57-3.59, 1 Dy 3.60, 2 Nd 3.60
Nd 0.3334 0.6666 0.5000  3 Nd 3.58, 3 Dy 3.58, 6 Tb 3.60
Nd 0.6666 0.3334 0.5000  3 Nd 3.58, 3 Dy 3.58, 6 Tb 3.60
Dy 0.0000 0.0000 0.5000  6 Nd 3.58, 6 Tb 3.59-3.60
Y 0.1663 0.8337 0.0000  6 Tb 3.56-3.57, 6 Y 3.57-3.59
Y 0.5000 0.5000 0.0000  6 Tb 3.56-3.57, 6 Y 3.58
Y 0.8337 0.1663 0.0000  6 Tb 3.56-3.57, 6 Y 3.57-3.59

For the size of the total moment, the calculation gives 0.000 Bohr magnetons per cell. As for the crystal system: monoclinic. The value obtained for the energy of formation from the pure elements is 0.016 eV per atom. Its density of states at the Fermi level is 1.34 states/eV per atom.



## BaAsOs2Pd (PBE-GGA)

Data for BaAsOs2Pd after structural relaxation.

a = 4.7042 Å, b = 4.7042 Å, c = 4.9772 Å
α = 90.00°, β = 90.00°, γ = 90.00°
Last column: nearest neighbours and their distance in Å.
Fractional coordinates of all 5 atoms:
Ba 0.0000 0.0000 0.0000  4 Pd 3.33, 8 Os 3.42
As 0.5000 0.5000 0.5000  4 Os 2.35, 2 Pd 2.49
Os 0.0000 0.5000 0.5000  2 As 2.35
Os 0.5000 0.0000 0.5000  2 As 2.35
Pd 0.5000 0.5000 0.0000  2 As 2.49

For the size of the total moment, the calculation gives 1.149 Bohr magnetons per cell. As for the crystal system: tetragonal. The value obtained for the energy of formation from the pure elements is 0.675 eV per atom. Its density of states at the Fermi level is 1.17 states/eV per atom.



## Ba9Pt4Au2 (PBE-GGA)

Data for Ba9Pt4Au2 after structural relaxation.

a = 7.9936 Å, b = 7.9936 Å, c = 22.6786 Å
α = 90.00°, β = 90.00°, γ = 120.00°
Last column: nearest neighbours and their distance in Å.
Fractional coordinates of all 30 atoms:
Ba 0.0000 0.3374 0.2500  2 Pt 3.18, 2 Au 3.35
Ba 0.0000 0.6626 0.7500  2 Pt 3.18, 2 Au 3.35
Ba 0.0180 0.3607 0.5814  3 Pt 3.19-3.23, 1 Au 3.36
Ba 0.0180 0.6573 0.0814  3 Pt 3.19-3.23, 1 Au 3.36
Ba 0.3374 0.0000 0.2500  2 Pt 3.18, 2 Au 3.35
Ba 0.3374 0.3374 0.7500  2 Pt 3.18, 2 Au 3.35
Ba 0.3427 0.3607 0.0814  3 Pt 3.19-3.23, 1 Au 3.36
Ba 0.3427 0.9820 0.5814  3 Pt 3.19-3.23, 1 Au 3.36
Ba 0.3607 0.0180 0.9186  3 Pt 3.19-3.23, 1 Au 3.36
Ba 0.3607 0.3427 0.4186  3 Pt 3.19-3.23, 1 Au 3.36
Ba 0.6393 0.6573 0.5814  3 Pt 3.19-3.23, 1 Au 3.36
Ba 0.6393 0.9820 0.0814  3 Pt 3.19-3.23, 1 Au 3.36
Ba 0.6573 0.0180 0.4186  3 Pt 3.19-3.23, 1 Au 3.36
Ba 0.6573 0.6393 0.9186  3 Pt 3.19-3.23, 1 Au 3.36
Ba 0.6626 0.0000 0.7500  2 Pt 3.18, 2 Au 3.35
Ba 0.6626 0.6626 0.2500  2 Pt 3.18, 2 Au 3.35
Ba 0.9820 0.3427 0.9186  3 Pt 3.19-3.23, 1 Au 3.36
Ba 0.9820 0.6393 0.4186  3 Pt 3.19-3.23, 1 Au 3.36
Pt 0.3333 0.6667 0.1722  6 Ba 3.18-3.23
Pt 0.3333 0.6667 0.4930  6 Ba 3.19
Pt 0.3333 0.6667 0.6722  6 Ba 3.18-3.23
Pt 0.3333 0.6667 0.9930  6 Ba 3.19
Pt 0.6667 0.3333 0.0070  6 Ba 3.19
Pt 0.6667 0.3333 0.3278  6 Ba 3.18-3.23
Pt 0.6667 0.3333 0.5070  6 Ba 3.19
Pt 0.6667 0.3333 0.8278  6 Ba 3.18-3.23
Au 0.0000 0.0000 0.1625  6 Ba 3.35-3.36
Au 0.0000 0.0000 0.3375  6 Ba 3.35-3.36
Au 0.0000 0.0000 0.6625  6 Ba 3.35-3.36
Au 0.0000 0.0000 0.8375  6 Ba 3.35-3.36

For the size of the total moment, the calculation gives 0.000 Bohr magnetons per cell. As for the crystal system: trigonal. The value obtained for the energy of formation from the pure elements is -0.644 eV per atom. Its density of states at the Fermi level is 0.77 states/eV per atom.



## In2PbAu (PBE-GGA)

Data for In2PbAu after structural relaxation.

a = 4.6416 Å, b = 3.7016 Å, c = 6.5953 Å
α = 90.00°, β = 110.15°, γ = 90.00°
Last column: nearest neighbours and their distance in Å.
Fractional coordinates of all 4 atoms:
In 0.0000 0.0000 0.0000  2 Au 2.85, 4 In 3.18
In 0.4104 0.5000 0.8172  1 Au 2.89, 4 In 3.18
Pb 0.7382 0.0000 0.4667  4 Au 3.05-3.06, 1 In 3.30
Au 0.1820 0.5000 0.3503  3 In 2.85-2.89, 4 Pb 3.05-3.06

For the size of the total moment, the calculation gives 0.000 Bohr magnetons per cell. As for the crystal system: monoclinic. The value obtained for the energy of formation from the pure elements is -0.061 eV per atom. Its density of states at the Fermi level is 0.22 states/eV per atom.



## K2OsBr7 (PBE-GGA)

Data for K2OsBr7 after structural relaxation.

a = 9.8375 Å, b = 9.8375 Å, c = 13.0493 Å
α = 126.55°, β = 126.55°, γ = 46.20°
Last column: nearest neighbours and their distance in Å.
Fractional coordinates of all 20 atoms:
K 0.0707 0.7048 0.9614  7 Br 3.32-3.62
K 0.2952 0.9293 0.5386  7 Br 3.32-3.62
K 0.7048 0.0707 0.4614  7 Br 3.32-3.62
K 0.9293 0.2952 0.0386  7 Br 3.32-3.62
Os 0.2551 0.7449 0.7500  7 Br 2.53-2.61
Os 0.7449 0.2551 0.2500  7 Br 2.53-2.61
Br 0.0801 0.1135 0.7751  1 Os 2.61
Br 0.1135 0.0801 0.2751  1 Os 2.61
Br 0.1727 0.6578 0.5016  1 Os 2.53
Br 0.2021 0.4773 0.6873  1 Os 2.59
Br 0.3422 0.8273 0.9984  1 Os 2.53
Br 0.4108 0.5892 0.2500  1 Os 2.58
Br 0.4773 0.2021 0.1873  1 Os 2.59
Br 0.5227 0.7979 0.8127  1 Os 2.59
Br 0.5892 0.4108 0.7500  1 Os 2.58
Br 0.6578 0.1727 0.0016  1 Os 2.53
Br 0.7979 0.5227 0.3127  1 Os 2.59
Br 0.8273 0.3422 0.4984  1 Os 2.53
Br 0.8865 0.9199 0.7249  1 Os 2.61
Br 0.9199 0.8865 0.2249  1 Os 2.61

For the size of the total moment, the calculation gives 1.176 Bohr magnetons per cell. The energy relative to the elements, uncorrected is -0.62 eV per atom. As for the crystal system: monoclinic. Its density of states at the Fermi level is 0.87 states/eV per atom.